The following is a GGA-PBE calculation of an optimized crystal structure of Y2TmNi9, from OQMD via LeMat-Bulk.

Structure (POSCAR):
```
Y2TmNi9
1.0
2.4696 1.4258 8.1260
-2.4696 1.4258 8.1260
0.0000 -2.8516 8.1260
Y Tm Ni
2 1 9
Cartesian
0.0000 0.0000 3.3824
0.0000 0.0000 20.9955
0.0000 0.0000 0.0000
-1.2373 -0.7144 10.1134
0.0000 0.0000 8.1190
0.0000 -1.4288 14.2646
-1.2373 0.7144 14.2646
0.0000 0.0000 12.1890
1.2373 -0.7144 10.1134
0.0000 1.4287 10.1134
0.0000 0.0000 16.2589
1.2373 0.7144 14.2645
```

Output
raw total energy: -6.036 eV per atom
space group: R-3m
magnetic moment: 0.063 μB/atom
calculated formation energy: -0.4098 eV/atom

The following is a GGA-PBE calculation of an optimized crystal structure of YTmNi2, from OQMD via LeMat-Bulk.

Structure (POSCAR):
```
YTmNi2
1.0
4.1344 0.0000 0.0000
0.0000 5.3740 0.0000
0.0000 0.0000 6.9912
Y Tm Ni
2 2 4
Cartesian
0.0000 0.6446 0.0000
0.0000 4.7294 3.4956
2.0672 2.0470 2.5146
2.0672 3.3270 6.0102
0.0000 2.0163 4.4862
0.0000 3.3577 0.9907
2.0672 0.6782 5.0132
2.0672 4.6957 1.5176
```

Output
raw total energy: -5.990 eV per atom
space group: Pmc2_1
relative energy among the computed polymorphs: 3 meV/atom
magnetic moment: 0.001 μB/atom
calculated formation energy: -0.4710 eV/atom